Entry 1:
VASP calculation (PBE-GGA) on a geometry-optimized LaAl2 structure. Values from VASP.

Structure (Quantum ESPRESSO input):
```
&SYSTEM
  ibrav = 0, nat = 12, ntyp = 2
/
ATOMIC_SPECIES
Al 26.98 Al.upf
La 138.91 La.upf
ATOMIC_POSITIONS crystal
Al 0.6011 0.6011 0.3989
Al 0.3989 0.3989 0.6011
Al 0.1011 0.8989 0.6011
Al 0.8989 0.1011 0.3989
Al 0.3989 0.1011 0.1011
Al 0.6011 0.8989 0.8989
Al 0.8989 0.3989 0.8989
Al 0.1011 0.6011 0.1011
La 0.0000 0.0000 0.0000
La 0.5000 0.5000 0.0000
La 0.5000 0.0000 0.5000
La 0.0000 0.5000 0.5000
CELL_PARAMETERS angstrom
-3.9221 -1.5708 -5.8732
-3.0776 -5.5146 3.5301
-5.2431 4.4121 2.3213
```

Results
Raw total energy in eV/f.u.: -10.83
Space-group type: Pa-3



Entry 2:
VASP calculation (PBE-GGA) on a geometry-optimized La5Al structure. Values from VASP.

Structure (Quantum ESPRESSO input):
```
&SYSTEM
  ibrav = 0, nat = 6, ntyp = 2
/
ATOMIC_SPECIES
Al 26.98 Al.upf
La 138.91 La.upf
ATOMIC_POSITIONS crystal
Al 0.9745 0.9745 0.0527
La 0.3106 0.3106 0.3497
La 0.6363 0.6363 0.7571
La 0.6148 0.6148 0.1996
La 0.9700 0.9700 0.5583
La 0.3271 0.3271 0.9160
CELL_PARAMETERS angstrom
-3.2585 3.9060 -4.1501
-1.8650 0.9309 -6.2252
-8.4133 -2.9846 -1.3708
```

Results
Offset from the most stable computed form in meV per atom: 0
Space-group type: Cm



Entry 3:
VASP calculation (PBE-GGA) on a geometry-optimized LaAl structure. Values from VASP.

Structure (Quantum ESPRESSO input):
```
&SYSTEM
  ibrav = 0, nat = 16, ntyp = 2
/
ATOMIC_SPECIES
La 138.91 La.upf
Al 26.98 Al.upf
ATOMIC_POSITIONS crystal
La 0.1579 0.1579 0.0000
La 0.1579 0.8421 0.0000
La 0.8421 0.1579 0.0000
La 0.8421 0.8421 0.0000
La 0.6579 0.6579 0.5000
La 0.6579 0.3421 0.5000
La 0.3421 0.6579 0.5000
La 0.3421 0.3421 0.5000
Al 0.8631 0.5000 0.0000
Al 0.1369 0.5000 0.0000
Al 0.5000 0.1369 0.0000
Al 0.5000 0.8631 0.0000
Al 0.3631 0.0000 0.5000
Al 0.6369 0.0000 0.5000
Al 0.0000 0.6369 0.5000
Al 0.0000 0.3631 0.5000
CELL_PARAMETERS angstrom
10.4185 0.0000 0.0000
0.0000 10.4185 0.0000
0.0000 0.0000 3.9108
```

Results
Raw total energy in eV/f.u.: -9.10
Space-group type: I4/mmm



Entry 4:
VASP calculation (PBE-GGA) on a geometry-optimized La5Al4 structure. Values from VASP.

Structure (Quantum ESPRESSO input):
```
&SYSTEM
  ibrav = 0, nat = 18, ntyp = 2
/
ATOMIC_SPECIES
Al 26.98 Al.upf
La 138.91 La.upf
ATOMIC_POSITIONS crystal
Al 0.0000 0.0000 0.0000
Al 0.0000 0.0000 0.5000
Al 0.0000 0.3609 0.2500
Al 0.6391 0.6391 0.2500
Al 0.3609 0.0000 0.2500
Al 0.0000 0.6391 0.7500
Al 0.3609 0.3609 0.7500
Al 0.6391 0.0000 0.7500
La 0.0000 0.7068 0.2500
La 0.2932 0.2932 0.2500
La 0.7068 0.0000 0.2500
La 0.0000 0.2932 0.7500
La 0.7068 0.7068 0.7500
La 0.2932 0.0000 0.7500
La 0.6667 0.3333 0.0000
La 0.3333 0.6667 0.5000
La 0.3333 0.6667 0.0000
La 0.6667 0.3333 0.5000
CELL_PARAMETERS angstrom
-4.3063 -2.9017 7.9400
-2.7193 -3.4568 -8.4062
4.4550 -4.9664 0.6012
```

Results
Offset from the most stable computed form in meV per atom: 74
Space-group type: P6_3/mcm



Entry 5:
VASP calculation (PBE-GGA) on a geometry-optimized La3Al structure. Values from VASP.

Structure (Quantum ESPRESSO input):
```
&SYSTEM
  ibrav = 0, nat = 4, ntyp = 2
/
ATOMIC_SPECIES
Al 26.98 Al.upf
La 138.91 La.upf
ATOMIC_POSITIONS crystal
Al 0.0000 0.0000 0.0000
La 0.5000 0.5000 0.5000
La 0.7274 0.7274 0.7790
La 0.2726 0.2726 0.2210
CELL_PARAMETERS angstrom
-4.1670 -1.7046 -4.1919
-1.4224 -4.1525 -4.3099
-3.2619 -3.8048 3.0594
```

Results
Raw total energy in eV/f.u.: -19.09
Space-group type: C2/m



Entry 6:
VASP calculation (PBE-GGA) on a geometry-optimized LaAl structure. Values from VASP.

Structure (Quantum ESPRESSO input):
```
&SYSTEM
  ibrav = 0, nat = 32, ntyp = 2
/
ATOMIC_SPECIES
La 138.91 La.upf
Al 26.98 Al.upf
ATOMIC_POSITIONS crystal
La 0.0000 0.7974 0.0000
La 0.0000 0.2026 0.0000
La 0.2500 0.9526 0.2500
La 0.2500 0.5474 0.2500
La 0.0000 0.2974 0.5000
La 0.0000 0.7026 0.5000
La 0.2500 0.4526 0.7500
La 0.2500 0.0474 0.7500
La 0.5000 0.7974 0.5000
La 0.5000 0.2026 0.5000
La 0.7500 0.9526 0.7500
La 0.7500 0.5474 0.7500
La 0.5000 0.2974 0.0000
La 0.5000 0.7026 0.0000
La 0.7500 0.4526 0.2500
La 0.7500 0.0474 0.2500
Al 0.3343 0.0000 0.0000
Al 0.6657 0.0000 0.0000
Al 0.9157 0.7500 0.2500
Al 0.5843 0.7500 0.2500
Al 0.3343 0.5000 0.5000
Al 0.6657 0.5000 0.5000
Al 0.9157 0.2500 0.7500
Al 0.5843 0.2500 0.7500
Al 0.8343 0.0000 0.5000
Al 0.1657 0.0000 0.5000
Al 0.4157 0.7500 0.7500
Al 0.0843 0.7500 0.7500
Al 0.8343 0.5000 0.0000
Al 0.1657 0.5000 0.0000
Al 0.4157 0.2500 0.2500
Al 0.0843 0.2500 0.2500
CELL_PARAMETERS angstrom
-6.5204 2.8241 3.0522
-2.0702 -9.1252 4.0206
6.0838 3.0876 10.1402
```

Results
Raw total energy in eV/f.u.: -9.03
Space-group type: Fddd



Entry 7:
VASP calculation (PBE-GGA) on a geometry-optimized LaAl structure. Values from VASP.

Structure (Quantum ESPRESSO input):
```
&SYSTEM
  ibrav = 0, nat = 4, ntyp = 2
/
ATOMIC_SPECIES
Al 26.98 Al.upf
La 138.91 La.upf
ATOMIC_POSITIONS crystal
Al 0.2500 0.4346 0.8698
Al 0.7500 0.5654 0.1302
La 0.2500 0.1440 0.2867
La 0.7500 0.8560 0.7133
CELL_PARAMETERS angstrom
-0.8503 -1.1092 -4.1214
4.3192 -1.5219 -0.4815
-3.8404 -4.5569 2.0188
```

Results
Raw total energy in eV/f.u.: -9.38
Space-group type: Cmcm



Entry 8:
VASP calculation (PBE-GGA) on a geometry-optimized LaAl structure. Values from VASP.

Structure (Quantum ESPRESSO input):
```
&SYSTEM
  ibrav = 0, nat = 4, ntyp = 2
/
ATOMIC_SPECIES
Al 26.98 Al.upf
La 138.91 La.upf
ATOMIC_POSITIONS crystal
Al 0.3333 0.6667 0.9355
Al 0.6667 0.3333 0.4355
La 0.3333 0.6667 0.4355
La 0.6667 0.3333 0.9355
CELL_PARAMETERS angstrom
-2.8793 -4.4845 -1.2148
5.1948 -0.4485 1.6403
-1.9386 -0.3895 6.0330
```

Results
Raw total energy in eV/f.u.: -7.65
Space-group type: P6_3/mmc